[1]
TiZnCrIr (PBE, optimized geometry); DFT total energy = -7.293 eV/atom; SG = F-43m (216); crystal system = cubic; energy of formation from the pure elements = -0.38 eV per atom
1.0
0.000 3.062 3.062
3.062 0.000 3.062
3.062 3.062 0.000
Ti Zn Cr Ir
1 1 1 1
Direct
0.000 0.000 0.000
0.500 0.500 0.500
0.750 0.750 0.750
0.250 0.250 0.250

[2]
La4GeSeBr2 (PBE, optimized geometry); E_form (uncorrected) = -11.663 eV/f.u.; DFT total energy = -5.353 eV/atom; SG = P2/m (10); crystal system = monoclinic
1.0
7.541 0.000 0.000
0.000 4.395 0.000
-2.562 0.000 7.228
La Ge Se Br
4 1 1 2
Direct
0.238 0.000 0.222
0.257 0.500 0.779
0.743 0.500 0.221
0.762 0.000 0.778
0.000 0.500 0.000
0.500 0.000 0.000
0.000 0.000 0.500
0.500 0.500 0.500

[3]
TaCl2F (PBE, optimized geometry); E_form (uncorrected) = -1.134 eV/f.u.; DFT total energy = -4.638 eV/atom; SG = R-3m (166); crystal system = trigonal; ΔE to the lowest computed polymorph = 1.1013 eV per atom
1.0
1.684 0.972 8.097
-1.684 0.972 8.097
0.000 -1.945 8.097
Ta Cl F
1 2 1
Direct
0.000 0.000 0.000
0.092 0.092 0.092
0.908 0.908 0.908
0.500 0.500 0.500

[4]
WBrCl2 (PBE, optimized geometry); E_form (uncorrected) = 4.200 eV/f.u.; DFT total energy = -3.530 eV/atom; SG = Pmmm (47); crystal system = orthorhombic; ΔE to the lowest computed polymorph = 1.3969 eV per atom
1.0
3.219 0.000 0.000
0.000 4.701 0.000
0.000 0.000 5.217
W Br Cl
1 1 2
Direct
0.000 0.000 0.000
0.500 0.000 0.500
0.000 0.500 0.500
0.500 0.500 0.000

[5]
La2EuDy (PBE, optimized geometry); DFT total energy = -6.058 eV/atom; SG = R-3m (166); crystal system = trigonal; energy of formation from the pure elements = 0.12 eV per atom; ΔE to the lowest computed polymorph = 0.0852 eV per atom
1.0
1.817 1.049 12.909
-1.817 1.049 12.909
0.000 -2.098 12.909
La Eu Dy
2 1 1
Direct
0.091 0.091 0.091
0.909 0.909 0.909
0.000 0.000 0.000
0.500 0.500 0.500

[6]
YSiO2 (PBE, optimized geometry); E_form (uncorrected) = -5.049 eV/f.u.; DFT total energy = -6.713 eV/atom; SG = R-3m (166); crystal system = trigonal
1.0
1.480 0.854 6.802
-1.480 0.854 6.802
0.000 -1.709 6.802
Y Si O
1 1 2
Direct
0.000 0.000 0.000
0.500 0.500 0.500
0.124 0.124 0.124
0.876 0.876 0.876

[7]
CeNd12Tm6 (PBE, optimized geometry); DFT total energy = -4.704 eV/atom; SG = R-3 (148); crystal system = trigonal; energy of formation from the pure elements = 0.03 eV per atom
1.0
7.883 4.551 2.948
-7.883 4.551 2.948
0.000 -9.103 2.948
Ce Nd Tm
1 12 6
Direct
0.000 0.000 0.000
0.059 0.373 0.580
0.104 0.739 0.157
0.157 0.104 0.739
0.261 0.843 0.896
0.373 0.580 0.059
0.420 0.941 0.627
0.580 0.059 0.373
0.627 0.420 0.941
0.739 0.157 0.104
0.843 0.896 0.261
0.896 0.261 0.843
0.941 0.627 0.420
0.214 0.470 0.317
0.317 0.214 0.470
0.470 0.317 0.214
0.530 0.683 0.786
0.683 0.786 0.530
0.786 0.530 0.683

[8]
Cs2KSb (PBE, optimized geometry); E_form (uncorrected) = -1.130 eV/f.u.; DFT total energy = -2.014 eV/atom; SG = Fm-3m (225); crystal system = cubic
1.0
0.000 4.609 4.609
4.609 0.000 4.609
4.609 4.609 0.000
Cs K Sb
2 1 1
Direct
0.250 0.250 0.250
0.750 0.750 0.750
0.000 0.000 0.000
0.500 0.500 0.500

[9]
SrTiNbAs2 (PBE, optimized geometry); DFT total energy = -5.012 eV/atom; SG = P4/mmm (123); crystal system = tetragonal; energy of formation from the pure elements = 0.78 eV per atom
1.0
5.031 0.000 0.000
0.000 5.031 0.000
0.000 0.000 5.537
Sr Ti Nb As
1 1 1 2
Direct
0.000 0.000 0.000
0.500 0.500 0.000
0.000 0.000 0.500
0.000 0.500 0.500
0.500 0.000 0.500

[10]
CaZn4Ni2 (PBE, optimized geometry); DFT total energy = -2.875 eV/atom; SG = I4/mmm (139); crystal system = tetragonal; energy of formation from the pure elements = -0.21 eV per atom
1.0
-3.235 3.235 2.531
3.235 -3.235 2.531
3.235 3.235 -2.531
Ca Zn Ni
1 4 2
Direct
0.000 0.000 0.000
0.305 0.305 0.610
0.305 0.695 0.000
0.695 0.305 0.000
0.695 0.695 0.390
0.250 0.750 0.500
0.750 0.250 0.500

[11]
GaFe2Rh2 (PBE, optimized geometry); DFT total energy = -6.858 eV/atom; SG = P4/mbm (127); crystal system = tetragonal; energy of formation from the pure elements = 0.07 eV per atom; ΔE to the lowest computed polymorph = 0.0656 eV per atom
1.0
7.113 0.000 0.000
0.000 7.113 0.000
0.000 0.000 2.820
Ga Fe Rh
2 4 4
Direct
0.000 0.000 0.000
0.500 0.500 0.000
0.118 0.382 0.000
0.382 0.882 0.000
0.618 0.118 0.000
0.882 0.618 0.000
0.177 0.677 0.500
0.323 0.177 0.500
0.677 0.823 0.500
0.823 0.323 0.500

[12]
AcPSe3 (PBE, optimized geometry); E_form (uncorrected) = -4.192 eV/f.u.; DFT total energy = -4.833 eV/atom; SG = Pm-3m (221); crystal system = cubic; ΔE to the lowest computed polymorph = 0.1598 eV per atom
1.0
4.971 0.000 0.000
0.000 4.971 0.000
0.000 0.000 4.971
Ac P Se
1 1 3
Direct
0.000 0.000 0.000
0.500 0.500 0.500
0.000 0.500 0.500
0.500 0.000 0.500
0.500 0.500 0.000

[13]
RbThGaN3 (PBE, optimized geometry); E_form (uncorrected) = -2.818 eV/f.u.; DFT total energy = -6.535 eV/atom; SG = P2_1/m (11); crystal system = monoclinic
1.0
8.372 0.000 0.000
0.000 3.638 0.000
-2.249 0.000 8.268
Rb Th Ga N
2 2 2 6
Direct
0.225 0.250 0.201
0.775 0.750 0.799
0.158 0.250 0.654
0.842 0.750 0.346
0.390 0.750 0.921
0.610 0.250 0.079
0.137 0.750 0.476
0.153 0.750 0.835
0.467 0.250 0.855
0.533 0.750 0.145
0.847 0.250 0.165
0.863 0.250 0.524

[14]
EuScAg2 (PBE, optimized geometry); DFT total energy = -5.777 eV/atom; SG = P4/mmm (123); crystal system = tetragonal; energy of formation from the pure elements = -0.20 eV per atom; ΔE to the lowest computed polymorph = 0.0607 eV per atom
1.0
5.155 0.000 0.000
0.000 5.155 0.000
0.000 0.000 3.544
Eu Sc Ag
1 1 2
Direct
0.000 0.000 0.000
0.500 0.500 0.000
0.000 0.500 0.500
0.500 0.000 0.500

[15]
B6AsN6 (PBE, optimized geometry); E_form (uncorrected) = -1.888 eV/f.u.; DFT total energy = -7.427 eV/atom; SG = Pm-3 (200); crystal system = cubic
1.0
4.613 0.000 0.000
0.000 4.613 0.000
0.000 0.000 4.613
B As N
6 1 6
Direct
0.000 0.245 0.500
0.000 0.755 0.500
0.245 0.500 0.000
0.500 0.000 0.245
0.500 0.000 0.755
0.755 0.500 0.000
0.000 0.000 0.000
0.000 0.500 0.255
0.000 0.500 0.745
0.255 0.000 0.500
0.500 0.255 0.000
0.500 0.745 0.000
0.745 0.000 0.500

[16]
CeAuCl6 (PBE, optimized geometry); E_form (uncorrected) = -10.017 eV/f.u.; DFT total energy = -3.788 eV/atom; SG = C2/m (12); crystal system = monoclinic; ΔE to the lowest computed polymorph = 0.0000 eV per atom
1.0
3.523 -5.865 0.000
3.523 5.865 0.000
-3.201 0.000 6.337
Ce Au Cl
1 1 6
Direct
0.000 0.000 0.000
0.500 0.500 0.500
0.123 0.431 0.272
0.209 0.209 0.788
0.431 0.123 0.272
0.569 0.877 0.728
0.791 0.791 0.212
0.877 0.569 0.728

[17]
CrRe2I (PBE, optimized geometry); E_form (uncorrected) = 4.455 eV/f.u.; DFT total energy = -7.904 eV/atom; SG = Fm-3m (225); crystal system = cubic; ΔE to the lowest computed polymorph = 0.0000 eV per atom
1.0
0.000 3.176 3.176
3.176 0.000 3.176
3.176 3.176 0.000
Cr Re I
1 2 1
Direct
0.000 0.000 0.000
0.250 0.250 0.250
0.750 0.750 0.750
0.500 0.500 0.500

[18]
FeCoIr2 (PBE, optimized geometry); DFT total energy = -8.199 eV/atom; SG = Imm2 (44); crystal system = orthorhombic; energy of formation from the pure elements = 0.12 eV per atom
1.0
-1.408 2.163 4.313
1.408 -2.163 4.313
1.408 2.163 -4.313
Fe Co Ir
1 1 2
Direct
0.000 0.000 0.000
0.781 0.281 0.500
0.247 0.747 0.500
0.521 0.521 0.000

[19]
MgTl3I4 (PBE, optimized geometry); E_form (uncorrected) = -4.584 eV/f.u.; DFT total energy = -2.435 eV/atom; SG = Pmn2_1 (31); crystal system = orthorhombic
1.0
9.818 0.000 0.000
0.000 10.964 0.000
0.000 0.000 7.118
Mg Tl I
2 6 8
Direct
0.000 0.204 0.000
0.500 0.796 0.500
0.000 0.855 0.318
0.186 0.666 0.932
0.314 0.334 0.432
0.500 0.145 0.818
0.686 0.334 0.432
0.814 0.666 0.932
0.000 0.180 0.385
0.000 0.971 0.861
0.228 0.344 0.911
0.272 0.656 0.411
0.500 0.029 0.361
0.500 0.820 0.885
0.728 0.656 0.411
0.772 0.344 0.911